# PBEsol ScBeCr, relaxed
# ΔH_f (0 K): 1.0 eV per formula unit
# Energy: -6.606 eV/atom
# Density of states at the Fermi level: 0.935 states/eV/atom
# Relative energy among the computed polymorphs: 0.000 eV per atom
data_ScBeCr
_chemical_formula_sum 'Sc2 Be2 Cr2'
_cell_length_a 2.673
_cell_length_b 2.673
_cell_length_c 11.160
_cell_angle_alpha 90.00
_cell_angle_beta 90.00
_cell_angle_gamma 90.00
_space_group_name_H-M_alt 'I 4 m m'
_space_group_IT_number 107
_space_group_name_Hall 'I 4 -2'
loop_
_atom_site_label
_atom_site_fract_x
_atom_site_fract_y
_atom_site_fract_z
Sc1 0.000 0.000 0.000
Be1 0.000 0.000 0.679
Cr1 0.000 0.000 0.309



# PBEsol ScBeCr2Se, relaxed
# Energy: -6.322 eV/atom
# Density of states at the Fermi level: 1.397 states/eV/atom
data_ScBeCr2Se
_chemical_formula_sum 'Sc1 Be1 Cr2 Se1'
_cell_length_a 4.200
_cell_length_b 4.200
_cell_length_c 4.350
_cell_angle_alpha 90.00
_cell_angle_beta 90.00
_cell_angle_gamma 90.00
_space_group_name_H-M_alt 'P 4/m m m'
_space_group_IT_number 123
_space_group_name_Hall '-P 4 2'
loop_
_atom_site_label
_atom_site_fract_x
_atom_site_fract_y
_atom_site_fract_z
Sc1 0.000 0.000 0.000
Be1 0.500 0.500 0.500
Cr1 0.000 0.500 0.500
Se1 0.500 0.500 0.000



# PBEsol BeCrSe4, relaxed
# Energy: -3.974 eV/atom
# Density of states at the Fermi level: 0.527 states/eV/atom
data_BeCrSe4
_chemical_formula_sum 'Be4 Cr4 Se16'
_cell_length_a 7.866
_cell_length_b 7.866
_cell_length_c 7.866
_cell_angle_alpha 90.00
_cell_angle_beta 90.00
_cell_angle_gamma 90.00
_space_group_name_H-M_alt 'F -4 3 m'
_space_group_IT_number 216
_space_group_name_Hall 'F -4 2 3'
loop_
_atom_site_label
_atom_site_fract_x
_atom_site_fract_y
_atom_site_fract_z
Be1 0.000 0.000 0.000
Cr1 0.250 0.250 0.750
Se1 0.126 0.126 0.374



# PBEsol BeCr2Se, relaxed
# Energy: -6.752 eV/atom
# Density of states at the Fermi level: 1.006 states/eV/atom
# Relative energy among the computed polymorphs: 0.075 eV per atom
data_BeCr2Se
_chemical_formula_sum 'Be1 Cr2 Se1'
_cell_length_a 4.000
_cell_length_b 4.000
_cell_length_c 2.924
_cell_angle_alpha 90.00
_cell_angle_beta 90.00
_cell_angle_gamma 90.00
_space_group_name_H-M_alt 'P 4/m m m'
_space_group_IT_number 123
_space_group_name_Hall '-P 4 2'
loop_
_atom_site_label
_atom_site_fract_x
_atom_site_fract_y
_atom_site_fract_z
Be1 0.000 0.000 0.000
Cr1 0.000 0.500 0.500
Se1 0.500 0.500 0.000



# PBEsol Be2CrSe, relaxed
# Energy: -5.241 eV/atom
# Density of states at the Fermi level: 0.577 states/eV/atom
data_Be2CrSe
_chemical_formula_sum 'Be2 Cr1 Se1'
_cell_length_a 2.996
_cell_length_b 3.368
_cell_length_c 4.808
_cell_angle_alpha 90.00
_cell_angle_beta 90.15
_cell_angle_gamma 90.00
_space_group_name_H-M_alt 'P 1 2/m 1'
_space_group_IT_number 10
loop_
_space_group_symop_operation_xyz
'x,y,z'
'-x,-y,-z'
'-x,y,-z'
'x,-y,z'
loop_
_atom_site_label
_atom_site_fract_x
_atom_site_fract_y
_atom_site_fract_z
Be1 0.001 0.000 0.203
Cr1 0.500 0.500 0.000
Se1 0.000 0.500 0.500



# PBEsol BeCr2Se, relaxed
# Energy: -6.828 eV/atom
# Density of states at the Fermi level: 0.548 states/eV/atom
# Relative energy among the computed polymorphs: 0.000 eV per atom
data_BeCr2Se
_chemical_formula_sum 'Be2 Cr4 Se2'
_cell_length_a 3.511
_cell_length_b 3.511
_cell_length_c 7.646
_cell_angle_alpha 90.00
_cell_angle_beta 90.00
_cell_angle_gamma 90.00
_space_group_name_H-M_alt 'I -4 m 2'
_space_group_IT_number 119
_space_group_name_Hall 'I -4 -2'
loop_
_atom_site_label
_atom_site_fract_x
_atom_site_fract_y
_atom_site_fract_z
Be1 0.000 0.000 0.000
Cr1 0.000 0.000 0.500
Cr2 0.000 0.500 0.250
Se1 0.000 0.500 0.750



# PBEsol Be2CrSe, relaxed
# Energy: -5.224 eV/atom
# Density of states at the Fermi level: 0.470 states/eV/atom
data_Be2CrSe
_chemical_formula_sum 'Be2 Cr1 Se1'
_cell_length_a 2.779
_cell_length_b 2.779
_cell_length_c 7.359
_cell_angle_alpha 90.00
_cell_angle_beta 90.00
_cell_angle_gamma 90.00
_space_group_name_H-M_alt 'P 4 m m'
_space_group_IT_number 99
loop_
_space_group_symop_operation_xyz
'x,y,z'
'-y,x,z'
'-x,-y,z'
'y,-x,z'
'-x,y,z'
'y,x,z'
'x,-y,z'
'-y,-x,z'
loop_
_atom_site_label
_atom_site_fract_x
_atom_site_fract_y
_atom_site_fract_z
Be1 0.000 0.000 0.000
Be2 0.500 0.500 0.133
Cr1 0.000 0.000 0.335
Se1 0.500 0.500 0.524



# PBEsol BeCrTcSe2, relaxed
# Energy: -5.906 eV/atom
# Density of states at the Fermi level: 0.805 states/eV/atom
data_BeCrTcSe2
_chemical_formula_sum 'Be1 Cr1 Tc1 Se2'
_cell_length_a 4.786
_cell_length_b 4.786
_cell_length_c 4.171
_cell_angle_alpha 90.00
_cell_angle_beta 90.00
_cell_angle_gamma 90.00
_space_group_name_H-M_alt 'P 4/m m m'
_space_group_IT_number 123
_space_group_name_Hall '-P 4 2'
loop_
_atom_site_label
_atom_site_fract_x
_atom_site_fract_y
_atom_site_fract_z
Be1 0.000 0.000 0.000
Cr1 0.500 0.500 0.000
Tc1 0.000 0.000 0.500
Se1 0.000 0.500 0.500



Question: The lowest energy belongs to which entry?
Answer: number 6



Question: What is the density of states at the Fermi level in the sixth record?
Answer: 0.548 states/eV/atom



Please write out number 3 again, unchanged.
# PBEsol BeCrSe4, relaxed
# Energy: -3.974 eV/atom
# Density of states at the Fermi level: 0.527 states/eV/atom
data_BeCrSe4
_chemical_formula_sum 'Be4 Cr4 Se16'
_cell_length_a 7.866
_cell_length_b 7.866
_cell_length_c 7.866
_cell_angle_alpha 90.00
_cell_angle_beta 90.00
_cell_angle_gamma 90.00
_space_group_name_H-M_alt 'F -4 3 m'
_space_group_IT_number 216
_space_group_name_Hall 'F -4 2 3'
loop_
_atom_site_label
_atom_site_fract_x
_atom_site_fract_y
_atom_site_fract_z
Be1 0.000 0.000 0.000
Cr1 0.250 0.250 0.750
Se1 0.126 0.126 0.374